(1)
The following is a GGA-PBEsol calculation of crystalline RbLuW2O8 at its relaxed geometry, from the Alexandria database.

ΔE to the lowest computed polymorph: 0 meV/atom
E_form (uncorrected): -2.56 eV per atom

a b c (Å): 7.4193 7.4143 7.4143
angles (deg): 91.95 117.89 62.11
Last column: nearest neighbours and their distance in Å.
Positions (direct):
Rb 0.7500 0.7998 0.7998  10 O 2.82-3.03
Rb 0.2500 0.2002 0.2002  10 O 2.82-3.03
Lu 0.7500 0.2266 0.2266  6 O 2.19-2.25
Lu 0.2500 0.7734 0.7734  6 O 2.19-2.25
W 0.7730 0.6944 0.3004  4 O 1.81-2.00
W 0.2270 0.3056 0.6996  4 O 1.81-2.00
W 0.7270 0.3004 0.6944  4 O 1.81-2.00
W 0.2730 0.6996 0.3056  4 O 1.81-2.00
O 0.5569 0.7599 0.3804  1 W 1.82
O 0.4431 0.2401 0.6196  1 W 1.82
O 0.9431 0.3804 0.7599  1 W 1.82
O 0.0569 0.6196 0.2401  1 W 1.82
O 0.8827 0.0557 0.6308  1 W 1.83
O 0.1173 0.9443 0.3692  1 W 1.83
O 0.6173 0.6308 0.0557  1 W 1.83
O 0.3827 0.3692 0.9443  1 W 1.83
O 0.9628 0.3704 0.4076  2 W 2.00-2.07, 1 Lu 2.22
O 0.0372 0.6296 0.5924  2 W 2.00-2.07, 1 Lu 2.22
O 0.5372 0.4076 0.3704  2 W 2.00-2.07, 1 Lu 2.22
O 0.4628 0.5924 0.6296  2 W 2.00-2.07, 1 Lu 2.22
O 0.6967 0.9595 0.2197  1 W 1.81
O 0.3033 0.0405 0.7803  1 W 1.81
O 0.8033 0.2197 0.9595  1 W 1.81
O 0.1967 0.7803 0.0405  1 W 1.81

***

(2)
The following is a GGA-PBEsol calculation of crystalline Lu5Re2O12 at its relaxed geometry, from the Alexandria database.

E_form (uncorrected): -3.02 eV per atom

a b c (Å): 5.5217 6.6222 7.2943
angles (deg): 106.21 90.00 114.64
Last column: nearest neighbours and their distance in Å.
Positions (direct):
Lu 0.6988 0.3975 0.3599  7 O 2.20-2.33
Lu 0.3012 0.6025 0.6401  7 O 2.20-2.33
Lu 0.6853 0.3706 0.8214  7 O 2.19-2.43
Lu 0.3147 0.6294 0.1786  7 O 2.19-2.43
Lu 0.0000 0.0000 0.5000  6 O 2.10-2.24
Re 0.2166 0.0000 0.0000  6 O 1.95-2.06
Re 0.7834 0.0000 0.0000  6 O 1.95-2.06
O 0.0030 0.0060 0.7899  2 Re 1.95, 1 Lu 2.10
O 0.9970 0.9940 0.2101  2 Re 1.95, 1 Lu 2.10
O 0.0865 0.6615 0.9109  1 Re 1.95
O 0.9135 0.3385 0.0891  1 Re 1.95
O 0.4250 0.3385 0.0891  1 Re 1.95
O 0.5750 0.6615 0.9109  1 Re 1.95
O 0.4992 0.9983 0.8157  2 Re 2.06, 1 Lu 2.23
O 0.5008 0.0017 0.1843  2 Re 2.06, 1 Lu 2.23
O 0.9006 0.3062 0.5712  4 Lu 2.20-2.25
O 0.0994 0.6938 0.4288  4 Lu 2.20-2.25
O 0.5944 0.6938 0.4288  4 Lu 2.20-2.25
O 0.4056 0.3062 0.5712  4 Lu 2.20-2.25

***

(3)
The following is a GGA-PBEsol calculation of crystalline LuRhO3 at its relaxed geometry, from the Alexandria database.

E_form (uncorrected): -2.28 eV per atom

a b c (Å): 5.0965 5.6683 7.4024
angles (deg): 90.00 90.00 90.00
Last column: nearest neighbours and their distance in Å.
Positions (direct):
Lu 0.5348 0.5892 0.2500  6 O 2.15-2.39
Lu 0.9652 0.0892 0.2500  6 O 2.15-2.39
Lu 0.4652 0.4108 0.7500  6 O 2.15-2.39
Lu 0.0348 0.9108 0.7500  6 O 2.15-2.39
Rh 0.0000 0.5000 0.0000  6 O 2.02-2.04
Rh 0.5000 0.0000 0.5000  6 O 2.02-2.04
Rh 0.0000 0.5000 0.5000  6 O 2.02-2.04
Rh 0.5000 0.0000 0.0000  6 O 2.02-2.04
O 0.3537 0.9403 0.2500  2 Rh 2.02, 2 Lu 2.15-2.19
O 0.1463 0.4403 0.2500  2 Rh 2.02, 2 Lu 2.15-2.19
O 0.6463 0.0597 0.7500  2 Rh 2.02, 2 Lu 2.15-2.19
O 0.8537 0.5597 0.7500  2 Rh 2.02, 2 Lu 2.15-2.19
O 0.8286 0.8129 0.0656  2 Rh 2.04, 1 Lu 2.19
O 0.6714 0.3129 0.4344  2 Rh 2.04, 1 Lu 2.19
O 0.1714 0.1871 0.5656  2 Rh 2.04, 1 Lu 2.19
O 0.3286 0.6871 0.9344  2 Rh 2.04, 1 Lu 2.19
O 0.1714 0.1871 0.9344  2 Rh 2.04, 1 Lu 2.19
O 0.3286 0.6871 0.5656  2 Rh 2.04, 1 Lu 2.19
O 0.8286 0.8129 0.4344  2 Rh 2.04, 1 Lu 2.19
O 0.6714 0.3129 0.0656  2 Rh 2.04, 1 Lu 2.19

***

(4)
The following is a GGA-PBEsol calculation of crystalline Lu2Sb2O7 at its relaxed geometry, from the Alexandria database.

E_form (uncorrected): -2.45 eV per atom

a b c (Å): 7.3721 7.3721 18.0460
angles (deg): 90.00 90.00 120.00
Last column: nearest neighbours and their distance in Å.
Positions (direct):
Lu 0.0000 0.8499 0.3333  6 O 2.24-2.47
Lu 0.0000 0.8312 0.8333  6 O 2.12-2.30
Lu 0.8267 0.5080 0.9887  5 O 2.11-2.33
Lu 0.8499 0.0000 0.0000  6 O 2.24-2.47
Lu 0.4920 0.3187 0.3220  5 O 2.11-2.33
Lu 0.8312 0.0000 0.5000  6 O 2.12-2.30
Lu 0.6813 0.1733 0.6553  5 O 2.11-2.33
Lu 0.5080 0.8267 0.3447  5 O 2.11-2.33
Lu 0.3187 0.4920 0.0113  5 O 2.11-2.33
Lu 0.1733 0.6813 0.6780  5 O 2.11-2.33
Lu 0.1688 0.1688 0.1667  6 O 2.12-2.30
Lu 0.1501 0.1501 0.6667  6 O 2.24-2.47
Sb 0.0000 0.3214 0.8333  6 O 2.24-2.40
Sb 0.0000 0.3181 0.3333  2 O 2.08
Sb 0.8293 0.4987 0.4995  6 O 1.96-2.02
Sb 0.5013 0.3306 0.8328  6 O 1.96-2.02
Sb 0.6694 0.1707 0.1661  6 O 1.96-2.02
Sb 0.6819 0.6819 0.6667  2 O 2.08
Sb 0.3214 0.0000 0.5000  6 O 2.24-2.40
Sb 0.6786 0.6786 0.1667  6 O 2.24-2.40
Sb 0.3181 0.0000 0.0000  2 O 2.08
Sb 0.4987 0.8293 0.8339  6 O 1.96-2.02
Sb 0.3306 0.5013 0.5005  6 O 1.96-2.02
Sb 0.1707 0.6694 0.1672  6 O 1.96-2.02
O 0.9752 0.8300 0.7165  1 Sb 2.08, 2 Lu 2.12-2.24
O 0.0176 0.8202 0.1975  2 Sb 2.02-2.24
O 0.8939 0.5501 0.6076  1 Sb 2.00, 1 Lu 2.19
O 0.9446 0.3946 0.1985  2 Sb 1.96
O 0.6787 0.6704 0.0419  3 Lu 2.20-2.36, 1 Sb 2.25
O 0.7500 0.4428 0.3948  1 Sb 1.96, 1 Lu 2.11
O 0.9917 0.3213 0.7086  3 Lu 2.20-2.36, 1 Sb 2.25
O 0.8037 0.4904 0.8635  1 Sb 2.01, 1 Lu 2.25
O 0.6054 0.5500 0.5318  2 Sb 1.96
O 0.5572 0.3072 0.7281  1 Sb 1.96, 1 Lu 2.11
O 0.5096 0.3132 0.1968  1 Sb 2.01, 1 Lu 2.25
O 0.6562 0.1061 0.2742  1 Sb 2.00, 1 Lu 2.19
O 0.8548 0.0248 0.3832  1 Sb 2.08, 2 Lu 2.12-2.24
O 0.6868 0.1963 0.5301  1 Sb 2.01, 1 Lu 2.25
O 0.8026 0.9824 0.8642  2 Sb 2.02-2.24
O 0.8300 0.9752 0.6168  1 Sb 2.08, 2 Lu 2.12-2.24
O 0.6928 0.2500 0.0614  1 Sb 1.96, 1 Lu 2.11
O 0.8202 0.0176 0.1358  2 Sb 2.02-2.24
O 0.4499 0.3438 0.9409  1 Sb 2.00, 1 Lu 2.19
O 0.4500 0.0554 0.8651  2 Sb 1.96
O 0.1798 0.1974 0.5308  2 Sb 2.02-2.24
O 0.3296 0.0083 0.3752  3 Lu 2.20-2.36, 1 Sb 2.25
O 0.5501 0.8939 0.7258  1 Sb 2.00, 1 Lu 2.19
O 0.3946 0.9446 0.1349  2 Sb 1.96
O 0.6704 0.6787 0.2914  3 Lu 2.20-2.36, 1 Sb 2.25
O 0.1700 0.1452 0.0498  1 Sb 2.08, 2 Lu 2.12-2.24
O 0.4428 0.7500 0.9386  1 Sb 1.96, 1 Lu 2.11
O 0.3213 0.9917 0.6248  3 Lu 2.20-2.36, 1 Sb 2.25
O 0.4904 0.8037 0.4699  1 Sb 2.01, 1 Lu 2.25
O 0.5500 0.6054 0.8015  2 Sb 1.96
O 0.3072 0.5572 0.6052  1 Sb 1.96, 1 Lu 2.11
O 0.3132 0.5096 0.1365  1 Sb 2.01, 1 Lu 2.25
O 0.1061 0.6562 0.0591  1 Sb 2.00, 1 Lu 2.19
O 0.0248 0.8548 0.9502  1 Sb 2.08, 2 Lu 2.12-2.24
O 0.1963 0.6868 0.8032  1 Sb 2.01, 1 Lu 2.25
O 0.9824 0.8026 0.4692  2 Sb 2.02-2.24
O 0.2500 0.6928 0.2719  1 Sb 1.96, 1 Lu 2.11
O 0.3438 0.4499 0.3924  1 Sb 2.00, 1 Lu 2.19
O 0.0554 0.4500 0.4682  2 Sb 1.96
O 0.1974 0.1798 0.8025  2 Sb 2.02-2.24
O 0.0083 0.3296 0.9581  3 Lu 2.20-2.36, 1 Sb 2.25
O 0.1452 0.1700 0.2835  1 Sb 2.08, 2 Lu 2.12-2.24

***

(5)
The following is a GGA-PBEsol calculation of crystalline LuSbO4 at its relaxed geometry, from the Alexandria database.

E_form (uncorrected): -2.49 eV per atom

a b c (Å): 5.2324 7.3859 7.4828
angles (deg): 97.86 90.00 90.00
Last column: nearest neighbours and their distance in Å.
Positions (direct):
Lu 0.2731 0.8839 0.6428  5 O 2.15-2.32
Lu 0.7269 0.1161 0.3572  5 O 2.15-2.32
Lu 0.2269 0.3839 0.6428  5 O 2.15-2.32
Lu 0.7731 0.6161 0.3572  5 O 2.15-2.32
Sb 0.2309 0.3114 0.1637  6 O 1.95-2.02
Sb 0.7691 0.6886 0.8363  6 O 1.95-2.02
Sb 0.7309 0.1886 0.8363  6 O 1.95-2.02
Sb 0.2691 0.8114 0.1637  6 O 1.95-2.02
O 0.0979 0.8136 0.9266  2 Sb 1.99-2.02
O 0.9021 0.1864 0.0734  2 Sb 1.99-2.02
O 0.6049 0.9341 0.8283  2 Sb 1.99-2.01, 1 Lu 2.22
O 0.3951 0.0659 0.1717  2 Sb 1.99-2.01, 1 Lu 2.22
O 0.8951 0.4341 0.8283  2 Sb 1.99-2.01, 1 Lu 2.22
O 0.1049 0.5659 0.1717  2 Sb 1.99-2.01, 1 Lu 2.22
O 0.4021 0.3136 0.9266  2 Sb 1.99-2.02
O 0.5979 0.6864 0.0734  2 Sb 1.99-2.02
O 0.0221 0.3258 0.3915  1 Sb 2.02, 2 Lu 2.16-2.18
O 0.9779 0.6742 0.6085  1 Sb 2.02, 2 Lu 2.16-2.18
O 0.5221 0.1742 0.6085  1 Sb 2.02, 2 Lu 2.16-2.18
O 0.4779 0.8258 0.3915  1 Sb 2.02, 2 Lu 2.16-2.18
O 0.4823 0.6141 0.6762  1 Sb 1.95, 1 Lu 2.15
O 0.5177 0.3859 0.3238  1 Sb 1.95, 1 Lu 2.15
O 0.0177 0.1141 0.6762  1 Sb 1.95, 1 Lu 2.15
O 0.9823 0.8859 0.3238  1 Sb 1.95, 1 Lu 2.15

***

(6)
The following is a GGA-PBEsol calculation of crystalline Lu3Sb5O12 at its relaxed geometry, from the Alexandria database.

E_form (uncorrected): -2.30 eV per atom

a b c (Å): 9.1348 9.1348 9.1348
angles (deg): 109.47 109.47 109.47
Last column: nearest neighbours and their distance in Å.
Positions (direct):
Lu 0.2500 0.7500 0.5000  4 O 2.18
Lu 0.2500 0.5000 0.7500  4 O 2.18
Lu 0.5000 0.2500 0.7500  4 O 2.18
Lu 0.5000 0.7500 0.2500  4 O 2.18
Lu 0.7500 0.2500 0.5000  4 O 2.18
Lu 0.7500 0.5000 0.2500  4 O 2.18
Sb 0.4765 0.4765 0.4765  3 O 2.02
Sb 0.7201 0.0000 0.7201  4 O 1.98-2.18
Sb 0.7201 0.7201 0.0000  4 O 1.98-2.18
Sb 0.2799 0.0000 0.2799  4 O 1.98-2.18
Sb 0.2799 0.2799 0.0000  4 O 1.98-2.18
Sb 0.0000 0.0000 0.5235  3 O 2.02
Sb 0.0000 0.5235 0.0000  3 O 2.02
Sb 0.5235 0.0000 0.0000  3 O 2.02
Sb 0.0000 0.2799 0.2799  4 O 1.98-2.18
Sb 0.0000 0.7201 0.7201  4 O 1.98-2.18
O 0.5172 0.7218 0.5172  2 Sb 2.02-2.18
O 0.5172 0.5172 0.7218  2 Sb 2.02-2.18
O 0.2947 0.2947 0.7934  1 Sb 1.98, 2 Lu 2.18
O 0.2947 0.7934 0.2947  1 Sb 1.98, 2 Lu 2.18
O 0.2066 0.5012 0.5012  1 Sb 1.98, 2 Lu 2.18
O 0.4988 0.7053 0.0000  1 Sb 1.98, 2 Lu 2.18
O 0.4988 0.0000 0.7053  1 Sb 1.98, 2 Lu 2.18
O 0.5012 0.5012 0.2066  1 Sb 1.98, 2 Lu 2.18
O 0.5012 0.2066 0.5012  1 Sb 1.98, 2 Lu 2.18
O 0.2782 0.7953 0.7953  2 Sb 2.02-2.18
O 0.2047 0.0000 0.4828  2 Sb 2.02-2.18
O 0.2047 0.4828 0.0000  2 Sb 2.02-2.18
O 0.7953 0.7953 0.2782  2 Sb 2.02-2.18
O 0.7953 0.2782 0.7953  2 Sb 2.02-2.18
O 0.4828 0.0000 0.2047  2 Sb 2.02-2.18
O 0.4828 0.2047 0.0000  2 Sb 2.02-2.18
O 0.0000 0.2047 0.4828  2 Sb 2.02-2.18
O 0.0000 0.4828 0.2047  2 Sb 2.02-2.18
O 0.7053 0.0000 0.4988  1 Sb 1.98, 2 Lu 2.18
O 0.7053 0.4988 0.0000  1 Sb 1.98, 2 Lu 2.18
O 0.7934 0.2947 0.2947  1 Sb 1.98, 2 Lu 2.18
O 0.0000 0.4988 0.7053  1 Sb 1.98, 2 Lu 2.18
O 0.0000 0.7053 0.4988  1 Sb 1.98, 2 Lu 2.18
O 0.7218 0.5172 0.5172  2 Sb 2.02-2.18

***

Q: Among the records above, which one has the highest E_form (uncorrected)?
A: LuRhO3

***

Q: What is the formula in the first record?
A: RbLuW2O8

***

Q: The highest E_form (uncorrected) belongs to which entry?
A: LuRhO3

***

Q: The highest E_form (uncorrected) belongs to which entry?
A: LuRhO3